First-principles (PBE+U) data for Li9V3P8O29 after structural relaxation, as listed in Alexandria via LeMat-Bulk.

CIF file:
```
data_Li9V3P8O29
_cell_length_a 9.895
_cell_length_b 9.895
_cell_length_c 13.768
_cell_angle_alpha 90.00
_cell_angle_beta 90.00
_cell_angle_gamma 120.00
_space_group_name_H-M_alt 'P 1'
_space_group_IT_number 1
loop_
_space_group_symop_operation_xyz
'x,y,z'
loop_
_atom_site_label
_atom_site_type_symbol
_atom_site_fract_x
_atom_site_fract_y
_atom_site_fract_z
_atom_site_occupancy
P1 P 0.316 0.226 0.345 1
P2 P 0.667 0.333 0.623 1
P3 P 0.774 0.090 0.345 1
P4 P 0.910 0.684 0.345 1
P5 P 0.090 0.774 0.155 1
P6 P 0.316 0.090 0.845 1
P7 P 0.684 0.774 0.655 1
P8 P 0.333 0.667 0.877 1
P9 P 0.684 0.910 0.155 1
P10 P 0.090 0.316 0.655 1
P11 P 0.226 0.316 0.155 1
P12 P 0.333 0.667 0.377 1
P13 P 0.667 0.333 0.123 1
P14 P 0.226 0.910 0.655 1
P15 P 0.774 0.684 0.845 1
P16 P 0.910 0.226 0.845 1
Li1 Li 0.100 0.333 0.436 1
Li2 Li 0.900 0.667 0.564 1
Li3 Li 0.767 0.667 0.064 1
Li4 Li 0.333 0.233 0.564 1
Li5 Li 0.900 0.233 0.064 1
Li6 Li 0.000 0.000 0.000 1
Li7 Li 0.767 0.100 0.564 1
Li8 Li 0.667 0.333 0.379 1
Li9 Li 0.333 0.100 0.064 1
Li10 Li 0.667 0.900 0.936 1
Li11 Li 0.233 0.333 0.936 1
Li12 Li 0.667 0.767 0.436 1
Li13 Li 0.333 0.667 0.621 1
Li14 Li 0.000 0.000 0.500 1
Li15 Li 0.233 0.900 0.436 1
Li16 Li 0.333 0.667 0.121 1
Li17 Li 0.100 0.767 0.936 1
Li18 Li 0.667 0.333 0.879 1
O1 O 0.521 0.891 0.165 1
O2 O 0.225 0.997 0.933 1
O3 O 0.667 0.333 0.513 1
O4 O 0.673 0.750 0.155 1
O5 O 0.214 0.000 0.750 1
O6 O 0.077 0.750 0.655 1
O7 O 0.775 0.003 0.067 1
O8 O 0.891 0.370 0.835 1
O9 O 0.000 0.214 0.750 1
O10 O 0.370 0.891 0.665 1
O11 O 0.479 0.109 0.835 1
O12 O 0.750 0.077 0.845 1
O13 O 0.225 0.228 0.433 1
O14 O 0.772 0.997 0.433 1
O15 O 0.786 0.000 0.250 1
O16 O 0.325 0.811 0.338 1
O17 O 0.772 0.775 0.933 1
O18 O 0.486 0.675 0.338 1
O19 O 0.003 0.228 0.933 1
O20 O 0.000 0.786 0.250 1
O21 O 0.997 0.225 0.567 1
O22 O 0.667 0.333 0.013 1
O23 O 0.325 0.514 0.838 1
O24 O 0.673 0.923 0.655 1
O25 O 0.370 0.479 0.165 1
O26 O 0.750 0.673 0.345 1
O27 O 0.811 0.486 0.662 1
O28 O 0.189 0.514 0.338 1
O29 O 0.786 0.786 0.750 1
O30 O 0.675 0.189 0.662 1
O31 O 0.214 0.214 0.250 1
O32 O 0.891 0.521 0.335 1
O33 O 0.109 0.479 0.665 1
O34 O 0.250 0.923 0.155 1
O35 O 0.333 0.667 0.487 1
O36 O 0.514 0.189 0.162 1
O37 O 0.228 0.003 0.567 1
O38 O 0.228 0.225 0.067 1
O39 O 0.521 0.630 0.665 1
O40 O 0.479 0.370 0.335 1
O41 O 0.486 0.811 0.838 1
O42 O 0.514 0.325 0.662 1
O43 O 0.189 0.675 0.838 1
O44 O 0.997 0.772 0.067 1
O45 O 0.003 0.775 0.433 1
O46 O 0.077 0.327 0.155 1
O47 O 0.327 0.077 0.345 1
O48 O 0.923 0.250 0.345 1
O49 O 0.333 0.667 0.987 1
O50 O 0.923 0.673 0.845 1
O51 O 0.630 0.109 0.335 1
O52 O 0.109 0.630 0.165 1
O53 O 0.775 0.772 0.567 1
O54 O 0.327 0.250 0.845 1
O55 O 0.250 0.327 0.655 1
O56 O 0.675 0.486 0.162 1
O57 O 0.630 0.521 0.835 1
O58 O 0.811 0.325 0.162 1
V1 V 0.565 0.565 0.250 1
V2 V 0.435 0.000 0.250 1
V3 V 0.435 0.435 0.750 1
V4 V 0.565 0.000 0.750 1
V5 V 0.000 0.435 0.250 1
V6 V 0.000 0.565 0.750 1
```

## Properties
Mass density, g/cm3: 2.6
N(E_F), states/eV/atom: 0.000
Space-group type: P-3c1, No. 165
Size of the total moment, Bohr magnetons per cell: 12.000
Uncorrected energy, eV for the cell shown: -680.08